Entry 1:
A relaxed structure of Si2PC, computed with PBE-GGA.

The value obtained for the uncorrected formation energy is 1.20 eV/f.u. As for the symmetry: R3m. Its excess energy over the best structure of this formula in the dataset is 180.1 meV per atom. As for the total energy: -6.070 eV/atom. Its volume is 15.34 A^3/atom.

Geometry as extended XYZ:
```
4
Lattice="1.641 0.948 6.574 -1.641 0.948 6.574 0.000 -1.895 6.574" Properties=species:S:1:pos:R:3 pbc="T T T"
Si 0.000 0.000 0.000
Si 0.000 0.000 2.478
P 0.000 0.000 16.756
C 0.000 0.000 6.473
```

Entry 2:
A relaxed structure of SrSi2PC, computed with PBE-GGA.

The value obtained for the uncorrected formation energy is 6.63 eV/f.u. As for the symmetry: P4/mmm. As for the total energy: -4.106 eV/atom. Its volume is 23.06 A^3/atom.

Geometry as extended XYZ:
```
5
Lattice="4.460 0.000 0.000 0.000 4.460 0.000 0.000 0.000 5.794" Properties=species:S:1:pos:R:3 pbc="T T T"
Sr 0.000 0.000 0.000
Si 0.000 2.230 2.897
Si 2.230 0.000 2.897
P 0.000 0.000 2.897
C 2.230 2.230 0.000
```

Entry 3:
A relaxed structure of SrSiPC2, computed with PBE-GGA.

The value obtained for the uncorrected formation energy is 7.30 eV/f.u. As for the symmetry: P4/mmm. As for the total energy: -4.733 eV/atom. Its volume is 14.87 A^3/atom.

Geometry as extended XYZ:
```
5
Lattice="4.013 0.000 0.000 0.000 4.013 0.000 0.000 0.000 4.617" Properties=species:S:1:pos:R:3 pbc="T T T"
Sr 0.000 0.000 0.000
Si 2.007 2.007 0.000
P 2.007 2.007 2.309
C 0.000 2.007 2.309
C 2.007 0.000 2.309
```